A geometry-optimized FeTc2Os structure. Source: Alexandria, functional PBE.

abc: 2.6905 2.6905 7.5312
angles: 90.00 90.00 90.00
With the nearest neighbours (Å) after each atom.
Fractional positions:
Fe 0.5000 0.5000 0.2500  8 Tc 2.62, 4 Fe 2.69
Os 0.5000 0.5000 0.7500  4 Os 2.69, 8 Tc 2.74
Tc 0.0000 0.0000 0.0117  4 Fe 2.62, 4 Tc 2.69, 4 Os 2.74
Tc 0.0000 0.0000 0.4883  4 Fe 2.62, 4 Tc 2.69, 4 Os 2.74

As for the energy above the lowest structure with this stoichiometry: 12 meV per atom. The value obtained for the calculated formation energy is 0.090 eV/atom. The mass density comes out at 13.47 g/cm3. Its calculated volume is 55 Å³/cell. Its space-group type is P4/mmm (123).

A geometry-optimized LaTlNF2 structure. Source: Alexandria, functional PBE.

abc: 4.5756 4.5756 4.3680
angles: 90.00 90.00 90.00
With the nearest neighbours (Å) after each atom.
Fractional positions:
N 0.0000 0.0000 0.5000  2 Tl 2.18
Tl 0.0000 0.0000 0.0000  2 N 2.18, 4 F 2.29
F 0.0000 0.5000 0.0000  2 Tl 2.29
F 0.5000 0.0000 0.0000  2 Tl 2.29
La 0.5000 0.5000 0.5000  8 F 3.16, 4 N 3.24

As for the energy above the lowest structure with this stoichiometry: 750 meV per atom. The mass density comes out at 7.18 g/cm3. Its calculated volume is 91 Å³/cell. Its space-group type is P4/mmm (123).

A geometry-optimized Tb2Sm5HoTm structure. Source: Alexandria, functional PBE.

abc: 5.6151 10.4773 10.6412
angles: 90.00 90.00 105.54
With the nearest neighbours (Å) after each atom.
Fractional positions:
Tb 0.8854 0.7707 0.8131  9 Sm 3.34-3.70, 1 Ho 3.64
Tb 0.1115 0.2230 0.7376  1 Ho 3.40, 7 Sm 3.48-3.79, 2 Tm 3.71
Tb 0.1146 0.2293 0.3131  9 Sm 3.34-3.70, 1 Ho 3.64
Tb 0.8885 0.7770 0.2376  1 Ho 3.40, 7 Sm 3.48-3.79, 2 Tm 3.71
Sm 0.3860 0.7719 0.0218  6 Sm 3.54-3.85, 4 Tb 3.58-3.63, 1 Ho 3.78
Sm 0.7199 0.4398 0.8108  1 Tm 3.06, 1 Tb 3.34, 2 Sm 3.41
Sm 0.4819 0.9638 0.7428  2 Tm 3.21-3.33, 2 Tb 3.50, 2 Sm 3.54-3.56
Sm 0.2986 0.5972 0.7067  4 Sm 3.41-3.79, 1 Tm 3.43, 3 Tb 3.50-3.79, 3 Ho 3.50-3.81
Sm 0.9834 0.9668 0.5189  2 Tm 3.24, 3 Tb 3.44-3.55
Sm 0.6140 0.2281 0.5218  6 Sm 3.54-3.85, 4 Tb 3.58-3.63, 1 Ho 3.78
Sm 0.2801 0.5602 0.3108  1 Tm 3.06, 1 Tb 3.34, 2 Sm 3.41
Sm 0.5181 0.0362 0.2428  2 Tm 3.21-3.33, 2 Tb 3.50, 2 Sm 3.54-3.56
Sm 0.7014 0.4028 0.2067  4 Sm 3.41-3.79, 1 Tm 3.43, 3 Tb 3.50-3.79, 3 Ho 3.50-3.81
Sm 0.0166 0.0332 0.0189  2 Tm 3.24, 3 Tb 3.44-3.55
Ho 0.8011 0.6021 0.5105  2 Tb 3.40-3.64, 7 Sm 3.50-3.78, 2 Tm 3.59
Ho 0.1989 0.3979 0.0105  2 Tb 3.40-3.64, 7 Sm 3.50-3.78, 2 Tm 3.59
Tm 0.5911 0.1822 0.9618  5 Sm 3.06-3.33
Tm 0.4089 0.8178 0.4618  5 Sm 3.06-3.33

The value obtained for the calculated formation energy is 0.144 eV/atom. The mass density comes out at 7.73 g/cm3. Its calculated volume is 603 Å³/cell. Its space-group type is Cmc2_1 (36).

In order of appearance, magnetic moment = 1.1; 0.4; 0.0 μB per cell.